DFT (PBE-GGA) results for crystalline CoMo2Cl at its relaxed geometry.

* total DFT energy (no corrections): -87.06 eV per cell
* formation energy from raw total energies: 0.398 eV/atom
* symmetry: R-3m (166)
* magnetic moment: 1.886 μB/cell

Unit cell a=2.8302 b=2.8302 c=25.0739 alpha=90.00 beta=90.00 gamma=120.00
Last column: nearest neighbours and their distance in Å.
Positions (direct):
1 Co 0.0000 0.0000 0.0000  6 Mo 2.62, 6 Co 2.83
2 Co 0.3333 0.6667 0.6667  6 Mo 2.62, 6 Co 2.83
3 Co 0.6667 0.3333 0.3333  6 Mo 2.62, 6 Co 2.83
4 Mo 0.0000 0.0000 0.2516  3 Co 2.62, 3 Cl 2.68, 6 Mo 2.83
5 Mo 0.0000 0.0000 0.7484  3 Co 2.62, 3 Cl 2.68, 6 Mo 2.83
6 Mo 0.3333 0.6667 0.4151  3 Co 2.62, 3 Cl 2.68, 6 Mo 2.83
7 Mo 0.3333 0.6667 0.9182  3 Co 2.62, 3 Cl 2.68, 6 Mo 2.83
8 Mo 0.6667 0.3333 0.0818  3 Co 2.62, 3 Cl 2.68, 6 Mo 2.83
9 Mo 0.6667 0.3333 0.5849  3 Co 2.62, 3 Cl 2.68, 6 Mo 2.83
10 Cl 0.0000 0.0000 0.5000  6 Mo 2.68, 6 Cl 2.83
11 Cl 0.3333 0.6667 0.1667  6 Mo 2.68, 6 Cl 2.83
12 Cl 0.6667 0.3333 0.8333  6 Mo 2.68, 6 Cl 2.83